18
Lattice="5.750 0.000 0.000 -2.875 4.979 0.000 0.000 0.000 9.328" Properties=species:S:1:pos:R:3 comment="NaSmMgF6 | Alexandria via LeMat-Bulk | PBE | optimized geometry" crystal_system=trigonal e_form_raw_ev_per_fu=-32.0 total_energy_ev_per_cell=-101.64 m_tot_mub_per_cell=0.00 pbc="T T T"
F 3.762 3.125 3.406
F 0.825 4.820 8.069
F 1.712 3.284 5.922
F 1.988 3.125 1.258
F 0.887 1.855 8.069
F -0.887 1.855 5.922
F -1.712 3.284 8.069
F -0.825 4.820 5.922
F 4.587 1.696 1.258
F 3.700 0.159 3.406
F 2.050 0.159 1.258
F 1.163 1.696 3.406
Na 0.000 0.000 0.000
Na 0.000 0.000 4.664
Mg 2.875 1.660 2.332
Mg 0.000 3.320 6.996
Sm 0.000 3.320 2.332
Sm 2.875 1.660 6.996


4
Lattice="-3.395 -2.238 -7.559 -0.510 -1.635 -8.411 -1.229 -4.391 -7.272" Properties=species:S:1:pos:R:3 comment="ZrOs2Se | Alexandria via LeMat-Bulk | PBE | optimized geometry" crystal_system=trigonal e_form_raw_ev_per_fu=1.5 total_energy_ev_per_cell=-33.02 m_tot_mub_per_cell=0.00 pbc="T T T"
Os -2.581 -4.154 -11.683
Os -5.121 -8.243 -23.181
Zr -3.851 -6.198 -17.432
Se -1.284 -2.066 -5.811


4
Lattice="-4.079 -0.376 -2.214 1.895 -3.083 -2.929 0.220 -0.727 4.594" Properties=species:S:1:pos:R:3 comment="SrCoSi2 | Alexandria via LeMat-Bulk | PBE | optimized geometry" crystal_system=tetragonal e_form_raw_ev_per_fu=1.9 total_energy_ev_per_cell=-17.72 m_tot_mub_per_cell=0.81 pbc="T T T"
Co -2.475 -1.416 -0.096
Sr -1.092 -1.730 -2.572
Si 0.000 0.000 0.000
Si 0.512 -2.770 -0.454


5
Lattice="-3.159 -1.921 -0.851 1.613 -1.232 -3.206 1.425 -3.208 1.950" Properties=species:S:1:pos:R:3 comment="CaCSN2 | Alexandria via LeMat-Bulk | PBE | optimized geometry" crystal_system=tetragonal e_above_lowest_polymorph_kj_per_mol_fu=0 e_form_raw_ev_per_fu=7.2 total_energy_ev_per_cell=-24.84 m_tot_mub_per_cell=0.00 pbc="T T T"
Ca -0.060 -3.180 -1.054
S 0.713 -1.604 0.975
N 0.806 -0.616 -1.603
N -1.580 -0.961 -0.426
C 0.000 0.000 0.000


no.,DOS(E_F) (states/eV per cell)
1,0.000
2,3.718
3,4.276
4,3.457